# Y11In9Rh4

An optimized crystal structure of Y11In9Rh4 (PBE-GGA, Alexandria via LeMat-Bulk).

Values from the calculation:
size of the total moment: 0.000 μB per cell
E: -141.55 eV per cell
formation energy from the elements: -683 meV/atom

```
24
Lattice="7.2972 -10.9233 0.0000 7.2972 10.9233 0.0000 0.0000 0.0000 3.6990" Properties=species:S:1:pos:R:3 pbc="T T T"
Y 0.0000 0.0000 0.0000
Y 3.5993 3.6934 0.0000
Y 7.2972 7.3815 0.0000
Y 4.5468 0.0000 0.0000
Y 7.2972 2.7513 0.0000
Y 3.5993 -3.6934 0.0000
Y 10.9952 3.6934 0.0000
Y 7.2972 -2.7513 0.0000
Y 10.0477 0.0000 0.0000
Y 7.2972 -7.3815 0.0000
Y 10.9952 -3.6934 0.0000
In 2.1353 1.5569 1.8495
In 5.7602 5.1725 1.8495
In 2.1353 -1.5569 1.8495
In 8.8343 5.1725 1.8495
In 7.2972 0.0000 1.8495
In 5.7602 -5.1725 1.8495
In 12.4592 1.5569 1.8495
In 8.8343 -5.1725 1.8495
In 12.4592 -1.5569 1.8495
Rh 5.0723 2.2110 1.8495
Rh 5.0723 -2.2110 1.8495
Rh 9.5222 2.2110 1.8495
Rh 9.5222 -2.2110 1.8495
```